No. 1
Li3SnB5O10: single point on PBEsol structure, meta-GGA SCAN.

Cell: 6.7813 6.8143 9.4440 Å, 85.17 88.86 75.62°
Atoms (fractional coordinates):
Li (0.0925, 0.6315, 0.2781)
Li (0.7402, 0.0251, 0.2489)
Li (0.9986, 0.2290, 0.4495)
Li (0.0014, 0.7710, 0.5505)
Li (0.2598, 0.9749, 0.7511)
Li (0.9075, 0.3685, 0.7219)
Sn (0.2750, 0.5271, 0.8807)
Sn (0.7250, 0.4729, 0.1193)
B (0.2345, 0.9161, 0.0527)
B (0.3030, 0.9029, 0.3077)
B (0.3769, 0.7083, 0.5465)
B (0.1482, 0.2251, 0.1706)
B (0.6590, 0.7659, 0.4046)
B (0.3410, 0.2341, 0.5954)
B (0.8518, 0.7749, 0.8294)
B (0.6231, 0.2917, 0.4535)
B (0.6970, 0.0971, 0.6923)
B (0.7655, 0.0839, 0.9473)
O (0.2273, 0.8352, 0.9278)
O (0.2437, 0.7953, 0.4354)
O (0.2541, 0.8042, 0.1830)
O (0.2859, 0.6893, 0.6741)
O (0.0469, 0.4256, 0.1623)
O (0.5201, 0.8957, 0.3107)
O (0.1426, 0.2476, 0.6187)
O (0.8203, 0.8857, 0.6993)
O (0.5858, 0.6671, 0.5234)
O (0.7848, 0.8740, 0.9511)
O (0.2152, 0.1260, 0.0489)
O (0.4142, 0.3329, 0.4766)
O (0.1797, 0.1143, 0.3007)
O (0.8574, 0.7524, 0.3813)
O (0.4799, 0.1043, 0.6893)
O (0.9531, 0.5744, 0.8377)
O (0.7141, 0.3107, 0.3259)
O (0.7459, 0.1958, 0.8170)
O (0.7563, 0.2047, 0.5646)
O (0.7727, 0.1648, 0.0722)

Energy in eV/cell: -377.707

***

No. 2
SrLiB2O: single point on PBEsol structure, meta-GGA SCAN.

Cell: 4.5007 5.1149 5.1149 Å, 90.00 90.00 90.00°
Site moments in Bohr magnetons follow the coordinates.
Atoms (fractional coordinates):
Sr (0.0000, 0.0000, 0.0000)  -0.17
B (0.0000, 0.0000, 0.5000)  -0.40
B (0.0000, 0.5000, 0.0000)  -0.40
O (0.5000, 0.0000, 0.0000)  0.19
Li (0.5000, 0.5000, 0.5000)  0.00

Energy in eV/cell: -38.597

***

No. 3
SrLiBO3: single point on PBEsol structure, meta-GGA SCAN.

Cell: 6.4869 6.6576 6.8482 Å, 90.00 109.42 90.00°
Atoms (fractional coordinates):
Sr (0.7023, 0.6216, 0.3671)
Sr (0.7977, 0.1216, 0.1329)
Sr (0.2977, 0.3784, 0.6329)
Sr (0.2023, 0.8784, 0.8671)
Li (0.6013, 0.9058, 0.6933)
Li (0.8987, 0.4058, 0.8067)
Li (0.3987, 0.0942, 0.3067)
Li (0.1013, 0.5942, 0.1933)
B (0.3121, 0.3684, 0.0738)
B (0.1879, 0.8684, 0.4262)
B (0.6879, 0.6316, 0.9262)
B (0.8121, 0.1316, 0.5738)
O (0.6539, 0.6066, 0.7155)
O (0.1050, 0.7013, 0.4939)
O (0.8950, 0.2987, 0.5061)
O (0.6050, 0.7987, 0.9939)
O (0.1931, 0.5122, 0.9360)
O (0.3069, 0.0122, 0.5640)
O (0.8069, 0.4878, 0.0640)
O (0.6931, 0.9878, 0.4360)
O (0.3461, 0.3934, 0.2845)
O (0.1539, 0.8934, 0.2155)
O (0.3950, 0.2013, 0.0061)
O (0.8461, 0.1066, 0.7845)

Energy in eV/cell: -272.457

***

No. 4
Li6TmB3O9: single point on PBEsol structure, meta-GGA SCAN.

Cell: 6.5652 7.1062 16.2379 Å, 90.00 90.00 105.09°
Atoms (fractional coordinates):
Li (0.9446, 0.8064, 0.0346)
Li (0.0554, 0.1936, 0.9654)
Li (0.5554, 0.1936, 0.5346)
Li (0.4446, 0.8064, 0.4654)
Li (0.9124, 0.3665, 0.4455)
Li (0.0876, 0.6335, 0.5545)
Li (0.5876, 0.6335, 0.9455)
Li (0.4124, 0.3665, 0.0545)
Li (0.8298, 0.9567, 0.5304)
Li (0.1702, 0.0433, 0.4696)
Li (0.6702, 0.0433, 0.0304)
Li (0.3298, 0.9567, 0.9696)
Li (0.8658, 0.2174, 0.2939)
Li (0.1342, 0.7826, 0.7061)
Li (0.6342, 0.7826, 0.7939)
Li (0.3658, 0.2174, 0.2061)
Li (0.9566, 0.9376, 0.2054)
Li (0.0434, 0.0624, 0.7946)
Li (0.5434, 0.0624, 0.7054)
Li (0.4566, 0.9376, 0.2946)
Li (0.8223, 0.4280, 0.0047)
Li (0.1777, 0.5720, 0.9953)
Li (0.6777, 0.5720, 0.5047)
Li (0.3223, 0.4280, 0.4953)
Tm (0.6533, 0.5813, 0.3095)
Tm (0.3467, 0.4187, 0.6905)
Tm (0.8467, 0.4187, 0.8095)
Tm (0.1533, 0.5813, 0.1905)
B (0.0033, 0.2166, 0.1220)
B (0.9967, 0.7834, 0.8780)
B (0.4967, 0.7834, 0.6220)
B (0.5033, 0.2166, 0.3780)
B (0.8095, 0.9398, 0.3838)
B (0.1905, 0.0602, 0.6162)
B (0.6905, 0.0602, 0.8838)
B (0.3095, 0.9398, 0.1162)
B (0.6622, 0.5872, 0.1360)
B (0.3378, 0.4128, 0.8640)
B (0.8378, 0.4128, 0.6360)
B (0.1622, 0.5872, 0.3640)
O (0.6756, 0.5928, 0.0525)
O (0.3244, 0.4072, 0.9475)
O (0.8244, 0.4072, 0.5525)
O (0.1756, 0.5928, 0.4475)
O (0.7685, 0.9195, 0.2999)
O (0.2315, 0.0805, 0.7001)
O (0.7315, 0.0805, 0.7999)
O (0.2685, 0.9195, 0.2001)
O (0.8373, 0.6457, 0.1864)
O (0.1627, 0.3543, 0.8136)
O (0.6627, 0.3543, 0.6864)
O (0.3373, 0.6457, 0.3136)
O (0.7285, 0.7747, 0.4310)
O (0.2715, 0.2253, 0.5690)
O (0.7715, 0.2253, 0.9310)
O (0.2285, 0.7747, 0.0690)
O (0.5836, 0.9631, 0.5889)
O (0.4164, 0.0369, 0.4111)
O (0.9164, 0.0369, 0.0889)
O (0.0836, 0.9631, 0.9111)
O (0.9241, 0.1090, 0.4203)
O (0.0759, 0.8910, 0.5797)
O (0.5759, 0.8910, 0.9203)
O (0.4241, 0.1090, 0.0797)
O (0.4560, 0.6146, 0.5751)
O (0.5440, 0.3854, 0.4249)
O (0.0440, 0.3854, 0.0751)
O (0.9560, 0.6146, 0.9249)
O (0.9697, 0.5119, 0.3249)
O (0.0303, 0.4881, 0.6751)
O (0.5303, 0.4881, 0.8249)
O (0.4697, 0.5119, 0.1751)
O (0.9383, 0.7558, 0.7955)
O (0.0617, 0.2442, 0.2045)
O (0.5617, 0.2442, 0.2955)
O (0.4383, 0.7558, 0.7045)

Energy in eV/cell: -784.689